# Be2InAg2 | the Alexandria database | PBE | optimized geometry
data_Be2InAg2
_cell_length_a 3.113
_cell_length_b 3.113
_cell_length_c 16.182
_cell_angle_alpha 90.00
_cell_angle_beta 90.00
_cell_angle_gamma 90.00
_symmetry_space_group_name_H-M 'I 4/m m m'
_symmetry_Int_Tables_number 139
_symmetry_space_group_name_Hall '-I 4 2'
loop_
_atom_site_label
_atom_site_fract_x
_atom_site_fract_y
_atom_site_fract_z
Be1 0.000 0.500 0.250
In1 0.000 0.000 0.000
Ag1 0.000 0.000 0.369
# Uncorrected energy   -29.79 eV per cell
# Magnetic moment   0.00 μB/atom
# Formation energy from the elements   0.200 eV/atom


# LiTc2MoCl | the Alexandria database | PBE | optimized geometry
data_LiTc2MoCl
_cell_length_a 4.459
_cell_length_b 4.459
_cell_length_c 3.863
_cell_angle_alpha 90.00
_cell_angle_beta 90.00
_cell_angle_gamma 90.00
_symmetry_space_group_name_H-M 'P 4/m m m'
_symmetry_Int_Tables_number 123
_symmetry_space_group_name_Hall '-P 4 2'
loop_
_atom_site_label
_atom_site_fract_x
_atom_site_fract_y
_atom_site_fract_z
Li1 0.000 0.000 0.000
Tc1 0.000 0.500 0.500
Mo1 0.500 0.500 0.000
Cl1 0.000 0.000 0.500
# Uncorrected energy   -30.55 eV per cell
# Magnetic moment   0.00 μB/atom
# Uncorrected formation energy   0.95 eV/atom


# NaMg2SiSe4 | the Alexandria database | PBE | optimized geometry
data_NaMg2SiSe4
_cell_length_a 8.861
_cell_length_b 8.868
_cell_length_c 11.357
_cell_angle_alpha 90.00
_cell_angle_beta 90.00
_cell_angle_gamma 90.00
_symmetry_space_group_name_H-M 'F m m 2'
_symmetry_Int_Tables_number 42
_symmetry_space_group_name_Hall 'F 2 -2'
loop_
_atom_site_label
_atom_site_fract_x
_atom_site_fract_y
_atom_site_fract_z
Na1 0.000 0.000 0.000
Mg1 0.250 0.250 0.250
Si1 0.000 0.000 0.499
Se1 0.000 0.224 0.627
Se2 0.224 0.000 0.372
# Uncorrected energy   -121.19 eV per cell
# Magnetic moment   0.00 μB/atom
# Uncorrected formation energy   -0.80 eV/atom


# CeHo6Te8 | the Alexandria database | PBE | optimized geometry
data_CeHo6Te8
_cell_length_a 12.250
_cell_length_b 12.250
_cell_length_c 12.250
_cell_angle_alpha 90.00
_cell_angle_beta 90.00
_cell_angle_gamma 90.00
_symmetry_space_group_name_H-M 'F m -3 m'
_symmetry_Int_Tables_number 225
_symmetry_space_group_name_Hall '-F 4 2 3'
loop_
_atom_site_label
_atom_site_fract_x
_atom_site_fract_y
_atom_site_fract_z
Ce1 0.000 0.000 0.000
Ho1 0.000 0.250 0.250
Te1 0.000 0.000 0.262
Te2 0.250 0.250 0.250
# Uncorrected energy   -313.56 eV per cell
# Magnetic moment   0.09 μB/atom
# Uncorrected formation energy   -1.32 eV/atom


# Tb6InAs2Se3 | the Alexandria database | PBE | optimized geometry
data_Tb6InAs2Se3
_cell_length_a 18.206
_cell_length_b 4.118
_cell_length_c 8.437
_cell_angle_alpha 90.00
_cell_angle_beta 103.24
_cell_angle_gamma 90.00
_symmetry_space_group_name_H-M 'C 1 2/m 1'
_symmetry_Int_Tables_number 12
loop_
_symmetry_equiv_pos_as_xyz
'x,y,z'
'-x,-y,-z'
'-x,y,-z'
'x,-y,z'
'x+1/2,y+1/2,z'
'-x+1/2,-y+1/2,-z'
'-x+1/2,y+1/2,-z'
'x+1/2,-y+1/2,z'
loop_
_atom_site_label
_atom_site_fract_x
_atom_site_fract_y
_atom_site_fract_z
Tb1 0.002 0.000 0.261
Tb2 0.169 0.500 0.093
Tb3 0.171 0.500 0.577
In1 0.000 0.500 0.000
As1 0.167 0.000 0.335
Se1 0.000 0.500 0.500
Se2 0.167 0.000 0.832
# Uncorrected energy   -135.96 eV per cell
# Magnetic moment   0.00 μB/atom
# Uncorrected formation energy   -1.48 eV/atom


# Pm4Sm11Dy9 | the Alexandria database | PBE | optimized geometry
data_Pm4Sm11Dy9
_cell_length_a 16.918
_cell_length_b 25.489
_cell_length_c 3.704
_cell_angle_alpha 90.00
_cell_angle_beta 90.00
_cell_angle_gamma 90.00
_symmetry_space_group_name_H-M 'C m m m'
_symmetry_Int_Tables_number 65
_symmetry_space_group_name_Hall '-C 2 2'
loop_
_atom_site_label
_atom_site_fract_x
_atom_site_fract_y
_atom_site_fract_z
Pm1 0.155 0.101 0.000
Sm1 0.000 0.134 0.500
Sm2 0.000 0.341 0.500
Sm3 0.000 0.500 0.500
Sm4 0.210 0.000 0.500
Sm5 0.226 0.319 0.500
Dy1 0.000 0.000 0.000
Dy2 0.101 0.235 0.000
Dy3 0.139 0.427 0.000
# Uncorrected energy   -221.79 eV per cell
# Magnetic moment   0.00 μB/atom
# Formation energy from the elements   0.060 eV/atom


Copy entry 1 word for word.
# Be2InAg2 | the Alexandria database | PBE | optimized geometry
data_Be2InAg2
_cell_length_a 3.113
_cell_length_b 3.113
_cell_length_c 16.182
_cell_angle_alpha 90.00
_cell_angle_beta 90.00
_cell_angle_gamma 90.00
_symmetry_space_group_name_H-M 'I 4/m m m'
_symmetry_Int_Tables_number 139
_symmetry_space_group_name_Hall '-I 4 2'
loop_
_atom_site_label
_atom_site_fract_x
_atom_site_fract_y
_atom_site_fract_z
Be1 0.000 0.500 0.250
In1 0.000 0.000 0.000
Ag1 0.000 0.000 0.369
# Uncorrected energy   -29.79 eV per cell
# Magnetic moment   0.00 μB/atom
# Formation energy from the elements   0.200 eV/atom